--- one ---
Entry from Alexandria via LeMat-Bulk: crystalline Li2MnRh at its relaxed geometry (PBE-GGA).

Lattice parameters (Å, degrees): 4.9215 4.9215 4.9215 136.47 136.47 63.25
Each line ends with the local moment (μB).
Fractional coordinates of all 4 atoms:
Mn  0.2500  0.7500  0.5000  3.71
Rh  0.7500  0.2500  0.5000  0.29
Li  0.0000  0.0000  0.0000  -0.04
Li  0.5000  0.5000  0.0000  -0.04

---

--- two ---
Entry from Alexandria via LeMat-Bulk: crystalline Li2MnRh at its relaxed geometry (PBE-GGA).

Lattice parameters (Å, degrees): 4.8056 4.8056 2.7115 90.00 90.00 116.46
Each line ends with the local moment (μB).
Fractional coordinates of all 4 atoms:
Li  0.0000  0.0000  0.0000  -0.04
Li  0.5000  0.5000  0.0000  -0.04
Mn  0.5000  0.0000  0.5000  3.57
Rh  0.0000  0.5000  0.5000  0.43

---

Of the structures shown above, one is the most stable.